Computed, not measured: a relaxed structure of PrAl2Ir2 at the PBE-GGA level of DFT.

Cell and atoms, written as POSCAR:
```
PrAl2Ir2
1.0
-2.162 2.162 5.092
2.162 -2.162 5.092
2.162 2.162 -5.092
Pr Al Ir
1 2 2
Direct
0.000 0.000 0.000
0.367 0.367 0.000
0.633 0.633 0.000
0.250 0.750 0.500
0.750 0.250 0.500
```

SG ... I4/mmm, No. 139
Calculated density ... 10.11 g/cm3
Energy ... -6.80 eV/atom
ΔE to the lowest computed polymorph ... 0.0679 eV/atom
Magnetization ... 0.00 μB per cell



Computed, not measured: a relaxed structure of PrSmAlIr2 at the PBE-GGA level of DFT.

Cell and atoms, written as POSCAR:
```
PrSmAlIr2
1.0
-2.066 2.951 4.462
2.066 -2.951 4.462
2.066 2.951 -4.462
Pr Sm Al Ir
1 1 1 2
Direct
0.000 0.000 0.000
0.604 0.604 0.000
0.303 0.803 0.500
0.044 0.302 0.742
0.560 0.302 0.258
```

SG ... Imm2, No. 44
Calculated density ... 10.72 g/cm3
Energy ... -6.99 eV/atom
Magnetization ... 0.00 μB per cell



Computed, not measured: a relaxed structure of TbPrAlIr2 at the PBE-GGA level of DFT.

Cell and atoms, written as POSCAR:
```
TbPrAlIr2
1.0
-2.072 2.935 4.395
2.072 -2.935 4.395
2.072 2.935 -4.395
Tb Pr Al Ir
1 1 1 2
Direct
0.000 0.000 0.000
0.603 0.603 0.000
0.301 0.801 0.500
0.044 0.302 0.742
0.559 0.302 0.258
```

SG ... Imm2, No. 44
Calculated density ... 11.05 g/cm3
Energy ... -7.00 eV/atom
Magnetization ... 0.00 μB per cell



Computed, not measured: a relaxed structure of PrYAlIr2 at the PBE-GGA level of DFT.

Cell and atoms, written as POSCAR:
```
PrYAlIr2
1.0
-2.071 2.932 4.392
2.071 -2.932 4.392
2.071 2.932 -4.392
Pr Y Al Ir
1 1 1 2
Direct
0.000 0.000 0.000
0.397 0.397 0.000
0.698 0.198 0.500
0.441 0.698 0.742
0.956 0.698 0.258
```

SG ... Imm2, No. 44
Calculated density ... 9.98 g/cm3
Energy ... -7.37 eV/atom
Magnetization ... 0.00 μB per cell